This record from Alexandria via LeMat-Bulk describes an optimized crystal structure of Tm4PbS2. The functional is PBE-GGA.

Summary:
Crystal system: orthorhombic
Space group: Cmcm, No. 63
Formation energy from raw total energies (meV/atom): -1274.5
Calculated volume (Å³/cell): 337
Energy above the lowest structure with this stoichiometry (eV/f.u.): 0.000

POSCAR file:
```
Tm4PbS2
1.0
3.9370 0.0000 0.0000
-1.9685 6.4932 0.0000
0.0000 0.0000 13.1735
Pb Tm S
2 8 4
direct
0.3947 0.7895 0.2500
0.6053 0.2105 0.7500
0.9244 0.8489 0.7500
0.7616 0.5233 0.1166
0.0756 0.1511 0.2500
0.2384 0.4767 0.6166
0.2384 0.4767 0.8834
0.5000 0.0000 0.0000
0.7616 0.5233 0.3834
0.5000 0.0000 0.5000
0.1332 0.2663 0.0562
0.8668 0.7337 0.5562
0.1332 0.2663 0.4438
0.8668 0.7337 0.9438
```


This record from Alexandria via LeMat-Bulk describes an optimized crystal structure of Tm4Pb2S. The functional is PBE-GGA.

Summary:
Crystal system: tetragonal
Space group: I4/mmm, No. 139
Formation energy from raw total energies (meV/atom): -715.5
Calculated volume (Å³/cell): 198

POSCAR file:
```
Tm4Pb2S
1.0
-3.8184 3.2133 -0.0540
-3.1389 -3.7470 -1.0075
2.3788 -0.9091 8.3306
Tm Pb S
4 2 1
direct
0.5000 0.0000 0.0000
0.1664 0.1664 0.3329
0.0000 0.5000 0.0000
0.8336 0.8336 0.6671
0.3609 0.3609 0.7219
0.6391 0.6391 0.2781
0.0000 0.0000 0.0000
```


This record from Alexandria via LeMat-Bulk describes an optimized crystal structure of Tm2PbS. The functional is PBE-GGA.

Summary:
Crystal system: trigonal
Space group: P-3m1, No. 164
Formation energy from raw total energies (meV/atom): -1111.6
Calculated volume (Å³/cell): 98
Energy above the lowest structure with this stoichiometry (eV/f.u.): 0.239

POSCAR file:
```
Tm2PbS
1.0
3.7298 0.0000 0.0000
1.8649 3.2301 0.0001
0.0000 -0.0002 8.1471
S Pb Tm
1 1 2
direct
0.0000 0.0000 0.0000
0.0000 0.0000 0.5000
0.3333 0.3333 0.8060
0.6667 0.6667 0.1940
```


This record from Alexandria via LeMat-Bulk describes an optimized crystal structure of Tm6PbS5. The functional is PBE-GGA.

Summary:
Crystal system: monoclinic
Space group: C2/m, No. 12
Formation energy from raw total energies (meV/atom): -1634.1
Calculated volume (Å³/cell): 261

POSCAR file:
```
Tm6PbS5
1.0
-1.3128 4.4271 -5.0840
-3.8658 5.0972 2.3693
2.9363 5.5935 2.5787
S Tm Pb
5 6 1
direct
0.0000 0.6682 0.6636
0.5000 0.5000 0.0000
0.5000 0.8392 0.3215
0.5000 0.1608 0.6785
0.0000 0.3318 0.3364
0.7364 0.0882 0.3494
0.7395 0.7369 0.0000
0.2605 0.2631 0.0000
0.7364 0.4376 0.6506
0.2636 0.5624 0.3494
0.2636 0.9118 0.6506
0.0000 0.0000 0.0000
```


This record from Alexandria via LeMat-Bulk describes an optimized crystal structure of TmUPb2S6. The functional is PBE-GGA.

Summary:
Crystal system: monoclinic
Space group: P2_1/c, No. 14
Formation energy from raw total energies (meV/atom): -1158.6
Calculated volume (Å³/cell): 510

POSCAR file:
```
TmUPb2S6
1.0
-3.9746 5.2275 2.1418
1.5775 -1.6625 6.9853
7.8644 6.2512 -0.2882
Pb S U Tm
4 12 2 2
direct
0.5246 0.5745 0.7556
0.9754 0.0745 0.7444
0.0246 0.9255 0.2556
0.4754 0.4255 0.2444
0.6199 0.0333 0.2530
0.6914 0.3103 0.9436
0.8801 0.5333 0.2470
0.1199 0.4667 0.7530
0.8163 0.8013 0.9372
0.8086 0.8103 0.5564
0.1837 0.1987 0.0628
0.6837 0.3013 0.5628
0.3163 0.6987 0.4372
0.3086 0.6897 0.0564
0.3801 0.9667 0.7470
0.1914 0.1897 0.4436
0.0000 0.5000 0.0000
0.5000 0.0000 0.5000
0.0000 0.5000 0.5000
0.5000 0.0000 0.0000
```


This record from Alexandria via LeMat-Bulk describes an optimized crystal structure of YTmPbS. The functional is PBE-GGA.

Summary:
Crystal system: trigonal
Space group: R3m, No. 160
Formation energy from raw total energies (meV/atom): -1099.2
Calculated volume (Å³/cell): 100

POSCAR file:
```
YTmPbS
1.0
3.7065 0.0016 -0.0025
-1.8510 3.2076 0.0021
-1.8519 -1.0730 8.4369
Tm Y S Pb
1 1 1 1
direct
0.2758 0.5357 0.8264
0.9956 0.3959 0.4069
0.4745 0.1352 0.6243
0.1319 0.9639 0.1121
```


This record from Alexandria via LeMat-Bulk describes an optimized crystal structure of Y2Tm2Pb2S. The functional is PBE-GGA.

Summary:
Crystal system: tetragonal
Space group: I4/mmm, No. 139
Formation energy from raw total energies (meV/atom): -724.7
Calculated volume (Å³/cell): 205

POSCAR file:
```
Y2Tm2Pb2S
1.0
5.0663 0.0000 0.0000
0.0000 5.0663 0.0000
-2.5332 -2.5332 7.9955
Pb Y Tm S
2 2 2 1
direct
0.6404 0.6403 0.2807
0.3597 0.3597 0.7193
0.5000 0.0000 0.0000
0.0000 0.5000 0.0000
0.1665 0.1665 0.3330
0.8335 0.8335 0.6670
0.0000 0.0000 0.0000
```


This record from Alexandria via LeMat-Bulk describes an optimized crystal structure of YTm4PbS8. The functional is PBE-GGA.

Summary:
Crystal system: trigonal
Space group: R3m, No. 160
Formation energy from raw total energies (meV/atom): -1759.7
Calculated volume (Å³/cell): 372

POSCAR file:
```
YTm4PbS8
1.0
-3.5673 6.3354 -3.4405
-7.9845 0.0836 -0.9699
-4.5442 4.9833 4.4854
Tm Pb S Y
4 1 8 1
direct
0.4944 0.0017 0.5021
0.6255 0.6255 0.1234
0.0017 0.4944 0.5021
0.0017 0.0017 0.5021
0.3738 0.3738 0.8787
0.7555 0.7555 0.2608
0.7578 0.7578 0.7265
0.7916 0.2387 0.7310
0.2283 0.7555 0.2608
0.2387 0.2387 0.7310
0.2387 0.7916 0.7310
0.7555 0.2283 0.2608
0.2346 0.2346 0.2962
0.0022 0.0022 0.9935
```